VASP calculation (GGA-PBE) on a geometry-optimized B2IrPd3 structure.

Cell lengths 4.8772, 3.2171, 4.9368 Å; angles 90.00, 91.98, 90.00 degrees
With the nearest neighbours (Å) after each atom.
Space group Pm (No. 6)
Asymmetric unit:
B: 0.0000 0.0000 0.0000 x1  1 Ir 2.07, 5 Pd 2.13-2.15
B: 0.4750 0.5000 0.4769 x1  2 Ir 2.05, 4 Pd 2.17-2.22
Ir: 0.3524 0.0000 0.2451 x1  3 B 2.05-2.07
Pd: 0.1340 0.5000 0.7479 x1  3 B 2.15-2.17
Pd: 0.6343 0.0000 0.7507 x1  3 B 2.13-2.22
Pd: 0.8483 0.5000 0.2424 x1  3 B 2.15-2.19

VASP calculation (GGA-PBE) on a geometry-optimized BIr2Pd structure.

Cell lengths 5.9882, 5.9882, 5.9882 Å; angles 90.00, 90.00, 90.00 degrees
With the nearest neighbours (Å) after each atom.
Space group F-43m (No. 216)
Asymmetric unit:
B: 0.0000 0.0000 0.0000 x4  4 Ir 2.59, 4 Pd 2.59
Ir: 0.0000 0.0000 0.5000 x4  4 Ir 2.59, 4 Pd 2.59
Ir: 0.2500 0.2500 0.7500 x4  4 B 2.59, 4 Ir 2.59
Pd: 0.2500 0.2500 0.2500 x4  4 B 2.59, 4 Ir 2.59

VASP calculation (GGA-PBE) on a geometry-optimized Y2B4Ir3Pd2 structure.

Cell lengths 5.4200, 10.0430, 11.4192 Å; angles 90.00, 90.00, 90.00 degrees
With the nearest neighbours (Å) after each atom.
Space group Fmmm (No. 69)
Asymmetric unit:
Y: 0.0000 0.0000 0.1474 x8  6 B 2.81-3.07, 4 Ir 3.08
B: 0.0000 0.1445 0.3585 x16  3 Ir 2.12-2.17, 2 Pd 2.36
Ir: 0.0000 0.0000 0.5000 x4  4 B 2.17
Ir: 0.2500 0.2500 0.2500 x8  4 B 2.12
Pd: 0.2500 0.2500 0.0000 x8  4 B 2.36

VASP calculation (GGA-PBE) on a geometry-optimized Y2B4IrPd4 structure.

Cell lengths 5.3780, 9.6834, 12.0276 Å; angles 90.00, 90.00, 90.00 degrees
With the nearest neighbours (Å) after each atom.
Space group Fmmm (No. 69)
Asymmetric unit:
Y: 0.0000 0.0000 0.1443 x8  6 B 2.97-3.02, 8 Pd 3.05-3.27, 2 Ir 3.20
B: 0.0000 0.1408 0.3641 x16  1 Ir 2.13, 4 Pd 2.19-2.37
Ir: 0.0000 0.0000 0.5000 x4  4 B 2.13
Pd: 0.2500 0.2500 0.0000 x8  4 B 2.37
Pd: 0.2500 0.2500 0.2500 x8  4 B 2.19

VASP calculation (GGA-PBE) on a geometry-optimized PmB4Ir structure.

Cell lengths 3.1580, 5.3306, 7.8085 Å; angles 90.00, 90.00, 90.00 degrees
With the nearest neighbours (Å) after each atom.
Space group Immm (No. 71)
Asymmetric unit:
Pm: 0.0000 0.0000 0.0000 x2  12 B 2.65
B: 0.0000 0.3307 0.2532 x8  3 B 1.80
Ir: 0.0000 0.0000 0.5000 x2  12 B 2.61-2.69

## Properties
E above lowest polymorph   9.7 kJ/mol of atoms

VASP calculation (GGA-PBE) on a geometry-optimized PmB4Ir structure.

Cell lengths 3.2832, 3.2832, 6.8784 Å; angles 90.00, 90.00, 120.00 degrees
With the nearest neighbours (Å) after each atom.
Space group P6/mmm (No. 191)
Asymmetric unit:
Pm: 0.0000 0.0000 0.0000 x1  12 B 2.76
B: 0.3333 0.6667 0.2916 x4  3 B 1.90
Ir: 0.0000 0.0000 0.5000 x1  12 B 2.38

## Properties
E above lowest polymorph   0.0 kJ/mol of atoms

no.,total moment (μB/atom),total energy (hartree per atom)
1,0.000,-0.239
2,0.001,-0.243
3,0.000,-0.279
4,0.000,-0.247
5,0.000,-0.247
6,0.000,-0.251